# PBE Ac2Sm3Cd4, relaxed
data_Ac2Sm3Cd4
_symmetry_space_group_name_H-M 'P 1'
_symmetry_Int_Tables_number 1
_symmetry_space_group_name_Hall 'P 1'
_cell_length_a 7.064
_cell_length_b 8.645
_cell_length_c 10.098
_cell_angle_alpha 90.00
_cell_angle_beta 110.47
_cell_angle_gamma 90.00
loop_
_atom_site_label
_atom_site_type_symbol
_atom_site_fract_x
_atom_site_fract_y
_atom_site_fract_z
Ac1 Ac 0.596 0.904 0.191
Cd1 Cd 0.177 0.750 0.854
Cd2 Cd 0.677 0.750 0.854
Sm1 Sm 0.000 0.000 0.000
Sm2 Sm 0.500 0.500 0.000
Cd3 Cd 0.165 0.988 0.330
Sm3 Sm 0.993 0.250 0.487
Cd4 Cd 0.823 0.250 0.146
Sm4 Sm 0.007 0.750 0.513
Cd5 Cd 0.835 0.012 0.670
Cd6 Cd 0.665 0.512 0.330
Ac2 Ac 0.904 0.404 0.809
Sm5 Sm 0.493 0.250 0.487
Cd7 Cd 0.323 0.250 0.146
Ac3 Ac 0.096 0.596 0.191
Sm6 Sm 0.507 0.750 0.513
Cd8 Cd 0.335 0.488 0.670
Ac4 Ac 0.404 0.096 0.809
# **DFT formation energy**: -173.8 meV/atom
# **V**: 577.7 Å³/cell